(1)
NbAgF3 | GGA-PBEsol | optimized geometry

Results
As for the formation energy from raw total energies: -0.395 eV/atom.

Unit cell a=4.304 b=4.304 c=4.304 alpha=90.00 beta=90.00 gamma=90.00
Space group Pm-3m (No. 221)
One atom of each set of equivalent atoms:
Nb 0.000 0.000 0.000 (multiplicity 1)
Ag 0.500 0.500 0.500 (multiplicity 1)
F 0.000 0.500 0.500 (multiplicity 3)


(2)
TlAgTe2 | GGA-PBEsol | optimized geometry

Results
As for the formation energy from raw total energies: 0.151 eV/atom.

Unit cell a=4.789 b=4.789 c=4.580 alpha=90.00 beta=90.00 gamma=90.00
Space group P4/mmm (No. 123)
One atom of each set of equivalent atoms:
Tl 0.000 0.000 0.000 (multiplicity 1)
Ag 0.500 0.500 0.000 (multiplicity 1)
Te 0.000 0.500 0.500 (multiplicity 2)


(3)
NiTePCl2 | GGA-PBEsol | optimized geometry

Results
As for the formation energy from raw total energies: 0.990 eV/atom.

Unit cell a=5.125 b=5.125 c=5.194 alpha=90.00 beta=90.00 gamma=90.00
Space group P4/mmm (No. 123)
One atom of each set of equivalent atoms:
Ni 0.000 0.000 0.000 (multiplicity 1)
Te 0.500 0.500 0.500 (multiplicity 1)
P 0.500 0.500 0.000 (multiplicity 1)
Cl 0.000 0.500 0.500 (multiplicity 2)


Copy entry 2 word for word.
TlAgTe2 | GGA-PBEsol | optimized geometry

Results
As for the formation energy from raw total energies: 0.151 eV/atom.

Unit cell a=4.789 b=4.789 c=4.580 alpha=90.00 beta=90.00 gamma=90.00
Space group P4/mmm (No. 123)
One atom of each set of equivalent atoms:
Tl 0.000 0.000 0.000 (multiplicity 1)
Ag 0.500 0.500 0.000 (multiplicity 1)
Te 0.000 0.500 0.500 (multiplicity 2)